DFT (PBE) results for a relaxed Cs2MoI crystal.

Unit cell a=6.6940 b=6.6940 c=6.6940 alpha=60.00 beta=60.00 gamma=60.00
Closest atoms and distances in Å follow each position.
Sites, in units of the cell vectors:
Cs 0.2500 0.2500 0.2500  4 Mo 4.10, 4 I 4.10
Cs 0.7500 0.7500 0.7500  4 Mo 4.10, 4 I 4.10
I 0.5000 0.5000 0.5000  8 Cs 4.10
Mo 0.0000 0.0000 0.0000  8 Cs 4.10

ρ: 3.8 g cm⁻³
uncorrected formation energy: 0.52 eV per atom
D(E_F): 0.000 states/eV/atom
space-group type: Fm-3m (225)

=====

DFT (PBE) results for a relaxed CsMo3I7 crystal.

Unit cell a=10.9631 b=10.9631 c=17.4080 alpha=90.00 beta=90.00 gamma=120.00
Closest atoms and distances in Å follow each position.
Sites, in units of the cell vectors:
I 0.9655 0.6535 0.9046  1 Mo 2.89
I 0.6667 0.3333 0.4459  3 Mo 2.79
Mo 0.6650 0.4743 0.1873  4 Mo 2.66-2.70, 5 I 2.79-2.89
Mo 0.8093 0.4743 0.3127  4 Mo 2.66-2.70, 5 I 2.79-2.89
I 0.3119 0.9655 0.0954  1 Mo 2.89
Mo 0.1907 0.5257 0.6873  4 Mo 2.66-2.70, 5 I 2.79-2.89
I 0.3119 0.3465 0.4046  1 Mo 2.89
Mo 0.1907 0.6650 0.8127  4 Mo 2.66-2.70, 5 I 2.79-2.89
I 0.6309 0.6723 0.8176  3 Mo 2.79-2.82
Mo 0.5257 0.1907 0.1873  4 Mo 2.66-2.70, 5 I 2.79-2.89
I 0.0415 0.3691 0.8176  3 Mo 2.79-2.82
I 0.9585 0.3277 0.3176  3 Mo 2.79-2.82
I 0.9585 0.6309 0.1824  3 Mo 2.79-2.82
I 0.6723 0.6309 0.3176  3 Mo 2.79-2.82
I 0.3277 0.3691 0.6824  3 Mo 2.79-2.82
I 0.6535 0.6881 0.0954  1 Mo 2.89
I 0.3333 0.6667 0.5541  3 Mo 2.79
Cs 0.0000 0.0000 0.5000  6 I 3.99
Mo 0.6650 0.1907 0.3127  4 Mo 2.66-2.70, 5 I 2.79-2.89
I 0.6535 0.9655 0.4046  1 Mo 2.89
Mo 0.4743 0.6650 0.6873  4 Mo 2.66-2.70, 5 I 2.79-2.89
I 0.9655 0.3119 0.5954  1 Mo 2.89
I 0.0345 0.3465 0.0954  1 Mo 2.89
I 0.6309 0.9585 0.6824  3 Mo 2.79-2.82
I 0.3465 0.3119 0.9046  1 Mo 2.89
I 0.3691 0.0415 0.3176  3 Mo 2.79-2.82
I 0.6667 0.3333 0.0541  3 Mo 2.79
Cs 0.6667 0.3333 0.7500  12 I 4.10-4.34
Mo 0.8093 0.3350 0.1873  4 Mo 2.66-2.70, 5 I 2.79-2.89
I 0.3691 0.3277 0.1824  3 Mo 2.79-2.82
I 0.6881 0.0345 0.9046  1 Mo 2.89
Mo 0.3350 0.5257 0.8127  4 Mo 2.66-2.70, 5 I 2.79-2.89
I 0.3277 0.9585 0.8176  3 Mo 2.79-2.82
Cs 0.3333 0.6667 0.2500  12 I 4.10-4.34
Mo 0.4743 0.8093 0.8127  4 Mo 2.66-2.70, 5 I 2.79-2.89
I 0.0415 0.6723 0.6824  3 Mo 2.79-2.82
I 0.6723 0.0415 0.1824  3 Mo 2.79-2.82
Mo 0.5257 0.3350 0.3127  4 Mo 2.66-2.70, 5 I 2.79-2.89
I 0.6881 0.6535 0.5954  1 Mo 2.89
Cs 0.0000 0.0000 0.0000  6 I 3.99
I 0.3465 0.0345 0.5954  1 Mo 2.89
Mo 0.3350 0.8093 0.6873  4 Mo 2.66-2.70, 5 I 2.79-2.89
I 0.0345 0.6881 0.4046  1 Mo 2.89
I 0.3333 0.6667 0.9459  3 Mo 2.79

ρ: 4.8 g cm⁻³
uncorrected formation energy: -0.59 eV per atom
D(E_F): 0.000 states/eV/atom
space-group type: P-31c (163)

=====

DFT (PBE) results for a relaxed Cs2Mo2I crystal.

Unit cell a=11.1098 b=11.1098 c=3.8399 alpha=90.00 beta=90.00 gamma=90.00
Closest atoms and distances in Å follow each position.
Sites, in units of the cell vectors:
Cs 0.2129 0.2871 0.0000  2 Cs 3.84, 2 I 3.97, 6 Mo 3.98-4.00
I 0.5000 0.5000 0.0000  2 I 3.84, 4 Cs 3.97
Mo 0.5636 0.9364 0.5000  1 Mo 2.00
Mo 0.4364 0.0636 0.5000  1 Mo 2.00
Cs 0.7871 0.7129 0.0000  2 Cs 3.84, 2 I 3.97, 6 Mo 3.98-4.00
Mo 0.0636 0.5636 0.5000  1 Mo 2.00
Cs 0.2871 0.7871 0.0000  2 Cs 3.84, 2 I 3.97, 6 Mo 3.98-4.00
Cs 0.7129 0.2129 0.0000  2 Cs 3.84, 2 I 3.97, 6 Mo 3.98-4.00
I 0.0000 0.0000 0.0000  2 I 3.84, 4 Cs 3.97
Mo 0.9364 0.4364 0.5000  1 Mo 2.00

ρ: 4.1 g cm⁻³
uncorrected formation energy: 0.92 eV per atom
D(E_F): 0.619 states/eV/atom
energy above the most stable polymorph in this dataset: 502 meV per atom
space-group type: P4/mbm (127)

=====

For the records above, the corresponding M_tot values read 5.00, 0.00, 0.00 μB per formula unit.